CaMn2 | PBE-GGA | optimized geometry

Fermi-level density of states	11.62	states/eV/cell
E	-6.241	eV/atom
size of the total moment	23.106	μB/cell
DFT formation energy	0.54	eV per atom

Cell: 4.900 4.900 10.292 Å, 90.00 90.00 90.00°
Space group I4/mcm (No. 140)
Asymmetric unit:
Ca (0.000, 0.000, 0.250)
Mn (0.176, 0.324, 0.000)